KCuMoRh2: relaxed, PBE-GGA.

Computed properties:
For the formation energy, the calculation gives 7.219 eV per formula unit. The value obtained for the magnetic moment is 0.0 μB/f.u.

Unit cell a=4.6780 b=5.7631 c=4.6780 alpha=90.00 beta=90.00 gamma=90.00
Positions (direct):
Rh1 0.0000 0.0000 0.5000
Rh2 0.5000 0.0000 0.0000
Cu1 0.5000 0.5000 0.5000
K1 0.0000 0.5000 0.0000
Mo1 0.0000 0.0000 0.0000